No. 1
A plane-wave DFT calculation with PBE was carried out for CuAgPt2 after structural relaxation.

Output
E_form (meV/atom): 6
SG: I4/mmm
Electronic total energy (eV/f.u.): -19.005
N(E_F) (states/eV per cell): 3.6
Magnetic moment (μB per cell): 0.0
Energy relative to the lowest polymorph listed for this composition (meV/atom): 141

Lattice parameters (Å, degrees): 4.900 4.900 4.900 133.08 133.08 68.52
Fractional positions:
Cu: 0.000 0.000 0.000
Ag: 0.500 0.500 0.000
Pt: 0.250 0.750 0.500
Pt: 0.750 0.250 0.500

=====

No. 2
A plane-wave DFT calculation with PBE was carried out for SrBeCd2 after structural relaxation.

Output
E_form (meV/atom): 42
SG: C2/m
Electronic total energy (eV/f.u.): -7.072
N(E_F) (states/eV per cell): 2.7
Magnetic moment (μB per cell): 0.0

Lattice parameters (Å, degrees): 4.495 4.495 6.333 110.93 110.93 60.11
Fractional positions:
Sr: 0.000 0.000 0.000
Be: 0.500 0.500 0.500
Cd: 0.203 0.203 0.609
Cd: 0.797 0.797 0.391

=====

No. 3
A plane-wave DFT calculation with PBE was carried out for Pd2CF after structural relaxation.

Output
SG: Fm-3m
Electronic total energy (eV/f.u.): -19.410
N(E_F) (states/eV per cell): 1.1
Magnetic moment (μB per cell): 0.0
Energy relative to the lowest polymorph listed for this composition (meV/atom): 475
Uncorrected formation energy (eV per atom): 0.52

Lattice parameters (Å, degrees): 3.984 3.984 3.984 60.00 60.00 60.00
Fractional positions:
Pd: 0.250 0.250 0.250
Pd: 0.750 0.750 0.750
C: 0.000 0.000 0.000
F: 0.500 0.500 0.500

=====

No. 4
A plane-wave DFT calculation with PBE was carried out for YLuNiOs after structural relaxation.

Output
E_form (meV/atom): -333
SG: F-43m
Electronic total energy (eV/f.u.): -29.328
N(E_F) (states/eV per cell): 1.6
Magnetic moment (μB per cell): 0.0

Lattice parameters (Å, degrees): 4.758 4.758 4.758 60.00 60.00 60.00
Fractional positions:
Y: 0.000 0.000 0.000
Lu: 0.500 0.500 0.500
Ni: 0.750 0.750 0.750
Os: 0.250 0.250 0.250

=====

No. 5
A plane-wave DFT calculation with PBE was carried out for Nd2GaSn after structural relaxation.

Output
E_form (meV/atom): -626
SG: Fmmm
Electronic total energy (eV/f.u.): -19.069
N(E_F) (states/eV per cell): 5.0
Magnetic moment (μB per cell): 0.0

Lattice parameters (Å, degrees): 7.046 6.600 6.575 64.66 57.84 57.50
Fractional positions:
Nd: 0.202 0.798 0.798
Nd: 0.250 0.250 0.250
Nd: 0.750 0.750 0.750
Nd: 0.798 0.202 0.202
Ga: 0.283 0.717 0.283
Ga: 0.717 0.283 0.717
Sn: 0.293 0.293 0.707
Sn: 0.707 0.707 0.293

=====

No. 6
A plane-wave DFT calculation with PBE was carried out for Y2ScCu4 after structural relaxation.

Output
E_form (meV/atom): -97
SG: C2/m
Electronic total energy (eV/f.u.): -36.320
N(E_F) (states/eV per cell): 4.0
Magnetic moment (μB per cell): 0.0

Lattice parameters (Å, degrees): 4.611 4.611 7.147 91.01 91.01 66.73
Fractional positions:
Y: 0.185 0.185 0.310
Y: 0.815 0.815 0.690
Sc: 0.500 0.500 0.000
Cu: 0.161 0.161 0.878
Cu: 0.437 0.437 0.645
Cu: 0.563 0.563 0.355
Cu: 0.839 0.839 0.122

=====

No. 7
A plane-wave DFT calculation with PBE was carried out for DyGe2S6 after structural relaxation.

Output
SG: C2/c
Electronic total energy (eV/f.u.): -44.116
N(E_F) (states/eV per cell): 12.7
Magnetic moment (μB per cell): 0.8
Uncorrected formation energy (eV per atom): -0.61

Lattice parameters (Å, degrees): 8.402 8.402 6.338 95.89 95.89 88.03
Fractional positions:
Dy: 0.118 0.882 0.750
Dy: 0.882 0.118 0.250
Ge: 0.226 0.374 0.690
Ge: 0.374 0.226 0.190
Ge: 0.626 0.774 0.810
Ge: 0.774 0.626 0.310
S: 0.033 0.193 0.652
S: 0.140 0.587 0.886
S: 0.193 0.033 0.152
S: 0.281 0.451 0.374
S: 0.413 0.860 0.614
S: 0.451 0.281 0.874
S: 0.549 0.719 0.126
S: 0.587 0.140 0.386
S: 0.719 0.549 0.626
S: 0.807 0.967 0.848
S: 0.860 0.413 0.114
S: 0.967 0.807 0.348

=====

No. 8
A plane-wave DFT calculation with PBE was carried out for MnCd2Re after structural relaxation.

Output
E_form (meV/atom): 516
SG: Imm2
Electronic total energy (eV/f.u.): -21.385
N(E_F) (states/eV per cell): 3.0
Magnetic moment (μB per cell): 2.9
Energy relative to the lowest polymorph listed for this composition (meV/atom): 275

Lattice parameters (Å, degrees): 5.701 5.701 5.701 150.54 128.79 60.19
Fractional positions:
Mn: 0.000 0.000 0.000
Cd: 0.464 0.464 0.000
Cd: 0.742 0.242 0.500
Re: 0.199 0.699 0.500

=====

No. 9
A plane-wave DFT calculation with PBE was carried out for TbMg2Zn2Ga2 after structural relaxation.

Output
E_form (meV/atom): -343
SG: R-3m
Electronic total energy (eV/f.u.): -18.821
N(E_F) (states/eV per cell): 1.5
Magnetic moment (μB per cell): 0.0

Lattice parameters (Å, degrees): 8.586 8.586 8.586 29.72 29.72 29.72
Fractional positions:
Tb: 0.000 0.000 0.000
Mg: 0.134 0.134 0.134
Mg: 0.866 0.866 0.866
Zn: 0.405 0.405 0.405
Zn: 0.595 0.595 0.595
Ga: 0.256 0.256 0.256
Ga: 0.744 0.744 0.744

=====

No. 10
A plane-wave DFT calculation with PBE was carried out for CuBiS2 after structural relaxation.

Output
SG: I-42d
Electronic total energy (eV/f.u.): -16.983
N(E_F) (states/eV per cell): 0.0
Magnetic moment (μB per cell): 0.0
Uncorrected formation energy (eV per atom): -0.19

Lattice parameters (Å, degrees): 7.089 7.089 7.089 131.09 131.09 71.67
Fractional positions:
Cu: 0.000 0.000 0.000
Cu: 0.750 0.250 0.500
Bi: 0.250 0.750 0.500
Bi: 0.500 0.500 0.000
S: 0.064 0.625 0.939
S: 0.375 0.314 0.439
S: 0.686 0.125 0.061
S: 0.875 0.936 0.561

=====

No. 11
A plane-wave DFT calculation with PBE was carried out for CaTbTlIn after structural relaxation.

Output
E_form (meV/atom): -412
SG: F-43m
Electronic total energy (eV/f.u.): -13.383
N(E_F) (states/eV per cell): 2.7
Magnetic moment (μB per cell): 0.0

Lattice parameters (Å, degrees): 5.418 5.418 5.418 60.00 60.00 60.00
Fractional positions:
Ca: 0.000 0.000 0.000
Tb: 0.500 0.500 0.500
Tl: 0.250 0.250 0.250
In: 0.750 0.750 0.750

=====

No. 12
A plane-wave DFT calculation with PBE was carried out for Sm8DyY6 after structural relaxation.

Output
E_form (meV/atom): 116
SG: R-3
Electronic total energy (eV/f.u.): -79.394
N(E_F) (states/eV per cell): 24.1
Magnetic moment (μB per cell): 0.0

Lattice parameters (Å, degrees): 8.719 8.719 8.719 63.16 63.16 63.16
Fractional positions:
Sm: 0.077 0.077 0.077
Sm: 0.218 0.612 0.250
Sm: 0.250 0.218 0.612
Sm: 0.388 0.750 0.782
Sm: 0.612 0.250 0.218
Sm: 0.750 0.782 0.388
Sm: 0.782 0.388 0.750
Sm: 0.923 0.923 0.923
Dy: 0.500 0.500 0.500
Y: 0.039 0.598 0.744
Y: 0.256 0.961 0.402
Y: 0.402 0.256 0.961
Y: 0.598 0.744 0.039
Y: 0.744 0.039 0.598
Y: 0.961 0.402 0.256